No. 1
! GGA-PBE InAgSe2, optimized geometry; values from VASP
&SYSTEM
  ibrav = 0, nat = 4, ntyp = 3
/
ATOMIC_SPECIES
In 114.82 In.upf
Ag 107.87 Ag.upf
Se 78.96 Se.upf
ATOMIC_POSITIONS crystal
In 0.000 0.000 0.000
Ag 0.000 0.500 0.500
Se 0.500 0.000 0.500
Se 0.500 0.500 0.000
CELL_PARAMETERS angstrom
3.758 0.000 0.000
0.000 3.930 0.000
0.000 0.000 7.186
! ΔE_f (raw)	-0.18	eV per formula unit


No. 2
! GGA-PBE InAgSe2, optimized geometry; values from VASP
&SYSTEM
  ibrav = 0, nat = 12, ntyp = 3
/
ATOMIC_SPECIES
In 114.82 In.upf
Ag 107.87 Ag.upf
Se 78.96 Se.upf
ATOMIC_POSITIONS crystal
In 0.000 0.000 0.000
In 0.333 0.667 0.667
In 0.667 0.333 0.333
Ag 0.000 0.000 0.500
Ag 0.333 0.667 0.167
Ag 0.667 0.333 0.833
Se 0.000 0.000 0.252
Se 0.000 0.000 0.748
Se 0.333 0.667 0.414
Se 0.333 0.667 0.919
Se 0.667 0.333 0.081
Se 0.667 0.333 0.586
CELL_PARAMETERS angstrom
4.002 0.000 0.000
-2.001 3.466 0.000
0.000 0.000 19.964
! ΔE_f (raw)	-1.29	eV per formula unit


Which magnetization belongs to each record? In order, 0.000 0.000 μB/f.u..